A plane-wave DFT calculation with PBE was carried out for crystalline Cr2BiRh at its relaxed geometry.

Properties
calculated density	6.78	g/cm³
N(E_F)	6.3	states/eV per cell
final energy	-6.6196	eV/atom
SG	No. 122

```
data_Cr2BiRh
_space_group_name_H-M_alt 'P 1'
_space_group_IT_number 1
_space_group_name_Hall 'P 1'
_cell_length_a 6.0405
_cell_length_b 6.0405
_cell_length_c 7.0310
_cell_angle_alpha 64.56
_cell_angle_beta 64.56
_cell_angle_gamma 90.00
loop_
_atom_site_label
_atom_site_type_symbol
_atom_site_fract_x
_atom_site_fract_y
_atom_site_fract_z
Cr1 Cr 0.8750 0.8213 0.7500
Cr2 Cr 0.1787 0.6250 0.2500
Cr3 Cr 0.3750 0.4287 0.7500
Cr4 Cr 0.5713 0.1250 0.2500
Rh1 Rh 0.5000 0.5000 0.0000
Rh2 Rh 0.2500 0.7500 0.5000
Bi1 Bi 0.0000 0.0000 0.0000
Bi2 Bi 0.7500 0.2500 0.5000
```